DFT (GGA+U) results for CsLaCr2O8 after structural relaxation.

The structure in CIF format:
```
data_CsLaCr2O8
_cell_length_a 5.9504
_cell_length_b 5.9504
_cell_length_c 8.6401
_cell_angle_alpha 90.00
_cell_angle_beta 90.00
_cell_angle_gamma 120.00
_space_group_name_H-M_alt 'P -3'
_space_group_IT_number 147
loop_
_space_group_symop_operation_xyz
'x,y,z'
'-x,-y,-z'
'-y,x-y,z'
'y,-x+y,-z'
'-x+y,-x,z'
'x-y,x,-z'
loop_
_atom_site_label
_atom_site_fract_x
_atom_site_fract_y
_atom_site_fract_z
_atom_site_occupancy
Cs1 0.0000 0.0000 0.0000 1
La1 0.0000 0.0000 0.5000 1
Cr1 0.3333 0.6667 0.7393 1
O1 0.1703 0.3592 0.6752 1
O2 0.3333 0.6667 0.9273 1
```

## Properties
electronic total energy: -83.46 eV per cell